Density functional theory data (PBE) for an optimized crystal structure of Rb3Te3P.

total DFT energy (no corrections) = -3.209 eV/atom
volume = 45.2 A^3/atom

Geometry as CIF:
```
data_Rb3Te3P
_symmetry_space_group_name_H-M 'P 1 21/c 1'
_symmetry_Int_Tables_number 14
_cell_length_a 5.905
_cell_length_b 15.211
_cell_length_c 14.230
_cell_angle_alpha 90.00
_cell_angle_beta 98.08
_cell_angle_gamma 90.00
loop_
_symmetry_equiv_pos_as_xyz
'x,y,z'
'-x,-y,-z'
'-x,y+1/2,-z+1/2'
'x,-y+1/2,z+1/2'
loop_
_atom_site_label
_atom_site_fract_x
_atom_site_fract_y
_atom_site_fract_z
Rb1 0.186 0.104 0.447
Rb2 0.250 0.530 0.630
Rb3 0.283 0.233 0.724
Te1 0.228 0.613 0.284
Te2 0.262 0.634 0.890
Te3 0.330 0.169 0.985
P1 0.266 0.701 0.437
```